## LaCuPd (PBE)

Data for LaCuPd after structural relaxation.

The energy of formation is -0.5447 eV per atom. The calculation puts the uncorrected energy at -5.284 eV per atom.

a b c (Å): 7.3654 7.3654 4.0712
angles (deg): 90.00 90.00 120.00
Space group P-62m (No. 189)
Unique sites:
La 0.0000 0.5984 0.0000
Cu 0.0000 0.2343 0.5000
Pd 0.0000 0.0000 0.0000
Pd 0.3333 0.6667 0.5000